## TcNiPtPb (PBE)

Data for crystalline TcNiPtPb at its relaxed geometry.

abc: 4.5153 4.5153 4.5153
angles: 60.00 60.00 60.00
Positions (direct):
Ni (0.7500, 0.7500, 0.7500)
Pb (0.0000, 0.0000, 0.0000)
Pt (0.5000, 0.5000, 0.5000)
Tc (0.2500, 0.2500, 0.2500)

Results
For the energy above the lowest structure with this stoichiometry, the calculation gives 0 meV per atom. Its space group is F-43m (216). The calculation puts the size of the total moment at 1.9 μB per formula unit.

=====

## TcNiPtPb (PBE)

Data for crystalline TcNiPtPb at its relaxed geometry.

abc: 4.5588 4.5588 4.5588
angles: 60.00 60.00 60.00
Positions (direct):
Ni (0.7500, 0.7500, 0.7500)
Pb (0.0000, 0.0000, 0.0000)
Pt (0.2500, 0.2500, 0.2500)
Tc (0.5000, 0.5000, 0.5000)

Results
For the energy above the lowest structure with this stoichiometry, the calculation gives 75 meV per atom. Its space group is F-43m (216). The calculation puts the size of the total moment at 2.6 μB per formula unit.

=====

## NiPtPbW (PBE)

Data for crystalline NiPtPbW at its relaxed geometry.

abc: 4.5655 4.5655 4.5655
angles: 60.00 60.00 60.00
Positions (direct):
Ni (0.7500, 0.7500, 0.7500)
Pb (0.0000, 0.0000, 0.0000)
Pt (0.2500, 0.2500, 0.2500)
W (0.5000, 0.5000, 0.5000)

Results
Its space group is F-43m (216). The calculation puts the size of the total moment at 1.2 μB per formula unit. For the uncorrected energy, the calculation gives -26.0 eV for the cell shown.

=====

## ZrNiPtPb (PBE)

Data for crystalline ZrNiPtPb at its relaxed geometry.

abc: 4.6470 4.6470 4.6470
angles: 60.00 60.00 60.00
Positions (direct):
Ni (0.7500, 0.7500, 0.7500)
Pb (0.0000, 0.0000, 0.0000)
Pt (0.2500, 0.2500, 0.2500)
Zr (0.5000, 0.5000, 0.5000)

Results
Its space group is F-43m (216). The calculation puts the size of the total moment at 0.0 μB per formula unit. For the uncorrected energy, the calculation gives -25.3 eV for the cell shown.

=====

## RbNi3Pb5 (PBE)

Data for crystalline RbNi3Pb5 at its relaxed geometry.

abc: 5.4785 5.4785 9.2571
angles: 90.00 90.00 120.00
Positions (direct):
Ni (0.5000, 0.0000, 0.5000)
Ni (0.0000, 0.5000, 0.5000)
Ni (0.5000, 0.5000, 0.5000)
Pb (0.6667, 0.3333, 0.2544)
Pb (0.3333, 0.6667, 0.2544)
Pb (0.0000, 0.0000, 0.5000)
Pb (0.6667, 0.3333, 0.7456)
Pb (0.3333, 0.6667, 0.7456)
Rb (0.0000, 0.0000, 0.0000)

Results
Its space group is P6/mmm (191). The calculation puts the size of the total moment at 0.0 μB per formula unit. For the uncorrected energy, the calculation gives -36.3 eV for the cell shown.

=====

## ReNi3Pb4 (PBE)

Data for crystalline ReNi3Pb4 at its relaxed geometry.

abc: 5.4971 5.4971 5.4971
angles: 90.00 90.00 90.00
Each line ends with the local moment (μB).
Positions (direct):
Ni (0.5000, 0.5000, 0.0000)  0.08
Ni (0.5000, 0.0000, 0.5000)  0.13
Ni (0.0000, 0.5000, 0.5000)  0.22
Pb (0.5000, 0.0000, 0.0000)  -0.03
Pb (0.0000, 0.5000, 0.0000)  -0.01
Pb (0.0000, 0.0000, 0.5000)  0.01
Pb (0.5000, 0.5000, 0.5000)  0.04
Re (0.0000, 0.0000, 0.0000)  1.12

Results
Its space group is Pm-3m (221). The calculation puts the size of the total moment at 1.7 μB per formula unit. For the uncorrected energy, the calculation gives -38.3 eV for the cell shown.

=====

## ScReNiPb (PBE)

Data for crystalline ScReNiPb at its relaxed geometry.

abc: 4.6357 4.6357 4.6357
angles: 60.00 60.00 60.00
Positions (direct):
Ni (0.7500, 0.7500, 0.7500)
Pb (0.0000, 0.0000, 0.0000)
Re (0.5000, 0.5000, 0.5000)
Sc (0.2500, 0.2500, 0.2500)

Results
Its space group is F-43m (216). The calculation puts the size of the total moment at 0.5 μB per formula unit. For the uncorrected energy, the calculation gives -25.9 eV for the cell shown.

=====

## TaReNiPb (PBE)

Data for crystalline TaReNiPb at its relaxed geometry.

abc: 4.5851 4.5851 4.5851
angles: 60.00 60.00 60.00
Positions (direct):
Ni (0.7500, 0.7500, 0.7500)
Pb (0.0000, 0.0000, 0.0000)
Re (0.5000, 0.5000, 0.5000)
Ta (0.2500, 0.2500, 0.2500)

Results
Its space group is F-43m (216). The calculation puts the size of the total moment at 0.5 μB per formula unit. For the uncorrected energy, the calculation gives -30.9 eV for the cell shown.

=====

## ReTcNiPb (PBE)

Data for crystalline ReTcNiPb at its relaxed geometry.

abc: 4.4696 4.4696 4.4696
angles: 60.00 60.00 60.00
Positions (direct):
Ni (0.7500, 0.7500, 0.7500)
Pb (0.0000, 0.0000, 0.0000)
Re (0.5000, 0.5000, 0.5000)
Tc (0.2500, 0.2500, 0.2500)

Results
Its space group is F-43m (216). The calculation puts the size of the total moment at 0.0 μB per formula unit. For the uncorrected energy, the calculation gives -29.4 eV for the cell shown.

=====

## NiPbS3 (PBE)

Data for crystalline NiPbS3 at its relaxed geometry.

abc: 7.7074 3.6073 13.9497
angles: 90.00 90.00 90.00
Positions (direct):
Ni (0.6629, 0.7500, 0.0506)
Ni (0.1629, 0.7500, 0.4494)
Ni (0.8371, 0.2500, 0.5506)
Ni (0.3371, 0.2500, 0.9494)
Pb (0.0671, 0.2500, 0.1747)
Pb (0.5671, 0.2500, 0.3253)
Pb (0.4329, 0.7500, 0.6747)
Pb (0.9329, 0.7500, 0.8253)
S (0.8327, 0.2500, 0.0036)
S (0.4885, 0.2500, 0.0878)
S (0.7836, 0.7500, 0.2007)
S (0.2836, 0.7500, 0.2993)
S (0.9885, 0.2500, 0.4122)
S (0.3327, 0.2500, 0.4964)
S (0.6673, 0.7500, 0.5036)
S (0.0115, 0.7500, 0.5878)
S (0.7164, 0.2500, 0.7007)
S (0.2164, 0.2500, 0.7993)
S (0.5115, 0.7500, 0.9122)
S (0.1673, 0.7500, 0.9964)

Results
Its space group is Pnma (62). The calculation puts the size of the total moment at 0.0 μB per formula unit. For the uncorrected energy, the calculation gives -91.5 eV for the cell shown.

=====

## Ni3Pb2S2 (PBE)

Data for crystalline Ni3Pb2S2 at its relaxed geometry.

abc: 6.9684 6.9684 6.9684
angles: 109.47 109.47 109.47
Positions (direct):
Ni (0.2431, 0.4931, 0.2500)
Ni (0.2500, 0.2569, 0.5069)
Ni (0.4931, 0.7500, 0.7431)
Ni (0.2569, 0.0069, 0.7500)
Ni (0.0069, 0.2500, 0.7569)
Ni (0.7500, 0.2431, 0.9931)
Pb (0.0000, 0.9896, 0.0000)
Pb (0.5104, 0.5104, 0.0104)
Pb (0.5000, 0.0000, 0.4896)
Pb (0.9896, 0.5000, 0.5000)
S (0.0000, 0.5338, 0.0000)
S (0.5000, 0.0000, 0.0338)
S (0.9662, 0.9662, 0.4662)
S (0.5338, 0.5000, 0.5000)

Results
Its space group is I2_13 (199). The calculation puts the size of the total moment at 0.0 μB per formula unit. For the uncorrected energy, the calculation gives -69.5 eV for the cell shown.

=====

## Ni2PbS3 (PBE)

Data for crystalline Ni2PbS3 at its relaxed geometry.

abc: 6.8346 6.8346 8.9547
angles: 90.00 90.00 30.39
Positions (direct):
Ni (0.0000, 0.0000, 0.0000)
Ni (0.4700, 0.4700, 0.2500)
Ni (0.0000, 0.0000, 0.5000)
Ni (0.5300, 0.5300, 0.7500)
Pb (0.7566, 0.7566, 0.2500)
Pb (0.2434, 0.2434, 0.7500)
S (0.3775, 0.3775, 0.0433)
S (0.0638, 0.0638, 0.2500)
S (0.3775, 0.3775, 0.4567)
S (0.6225, 0.6225, 0.5433)
S (0.9362, 0.9362, 0.7500)
S (0.6225, 0.6225, 0.9567)

Results
Its space group is Cmcm (63). The calculation puts the size of the total moment at 0.0 μB per formula unit. For the uncorrected energy, the calculation gives -57.2 eV for the cell shown.

=====

## ZrNiPbS3 (PBE)

Data for crystalline ZrNiPbS3 at its relaxed geometry.

abc: 7.3855 3.7103 9.4022
angles: 90.00 107.77 90.00
Positions (direct):
Ni (0.9263, 0.2500, 0.3910)
Ni (0.0737, 0.7500, 0.6090)
Pb (0.2525, 0.7500, 0.3137)
Pb (0.7475, 0.2500, 0.6863)
S (0.4301, 0.2500, 0.1318)
S (0.9311, 0.2500, 0.1530)
S (0.7590, 0.7500, 0.4475)
S (0.2410, 0.2500, 0.5525)
S (0.0689, 0.7500, 0.8470)
S (0.5699, 0.7500, 0.8682)
Zr (0.6977, 0.7500, 0.1705)
Zr (0.3023, 0.2500, 0.8295)

Results
Its space group is P2_1/m (11). The calculation puts the size of the total moment at 0.0 μB per formula unit. For the uncorrected energy, the calculation gives -71.5 eV for the cell shown.

=====

## Ni2Sb2Pb (PBE)

Data for crystalline Ni2Sb2Pb at its relaxed geometry.

abc: 4.4934 4.4934 10.3939
angles: 90.00 90.00 90.00
Positions (direct):
Ni (0.0000, 0.0000, 0.0000)
Ni (0.5000, 0.5000, 0.0000)
Ni (0.0000, 0.5000, 0.3734)
Ni (0.5000, 0.0000, 0.6266)
Pb (0.5000, 0.0000, 0.2183)
Pb (0.0000, 0.5000, 0.7817)
Sb (0.0000, 0.5000, 0.1289)
Sb (0.0000, 0.0000, 0.5000)
Sb (0.5000, 0.5000, 0.5000)
Sb (0.5000, 0.0000, 0.8711)

Results
Its space group is P4/nmm (129). The calculation puts the size of the total moment at 0.0 μB per formula unit. For the uncorrected energy, the calculation gives -46.8 eV for the cell shown.

=====

## ScNiPb2 (PBE)

Data for crystalline ScNiPb2 at its relaxed geometry.

abc: 5.0387 5.0387 5.0387
angles: 60.00 60.00 60.00
Positions (direct):
Ni (0.7500, 0.7500, 0.7500)
Pb (0.0000, 0.0000, 0.0000)
Pb (0.2500, 0.2500, 0.2500)
Sc (0.5000, 0.5000, 0.5000)

Results
Its space group is F-43m (216). The calculation puts the size of the total moment at 0.0 μB per formula unit. For the uncorrected energy, the calculation gives -18.7 eV for the cell shown.

=====

## TbScNi2Pb (PBE)

Data for crystalline TbScNi2Pb at its relaxed geometry.

abc: 3.5721 7.3297 7.3297
angles: 31.15 90.00 90.00
Positions (direct):
Ni (0.0000, 0.2031, 0.2031)
Ni (0.0000, 0.8038, 0.8038)
Pb (0.0000, 0.9948, 0.9948)
Sc (0.5000, 0.3576, 0.3576)
Tb (0.5000, 0.6407, 0.6407)

Results
Its space group is Amm2 (38). The calculation puts the size of the total moment at 0.0 μB per formula unit. For the uncorrected energy, the calculation gives -28.2 eV for the cell shown.

=====

## ScTcNiPb (PBE)

Data for crystalline ScTcNiPb at its relaxed geometry.

abc: 4.5854 4.5854 4.5854
angles: 60.00 60.00 60.00
Positions (direct):
Ni (0.7500, 0.7500, 0.7500)
Pb (0.0000, 0.0000, 0.0000)
Sc (0.5000, 0.5000, 0.5000)
Tc (0.2500, 0.2500, 0.2500)

Results
For the energy above the lowest structure with this stoichiometry, the calculation gives 0 meV per atom. Its space group is F-43m (216). The calculation puts the size of the total moment at 0.0 μB per formula unit.

=====

## ScTcNiPb (PBE)

Data for crystalline ScTcNiPb at its relaxed geometry.

abc: 4.6377 4.6377 4.6377
angles: 60.00 60.00 60.00
Positions (direct):
Ni (0.7500, 0.7500, 0.7500)
Pb (0.0000, 0.0000, 0.0000)
Sc (0.2500, 0.2500, 0.2500)
Tc (0.5000, 0.5000, 0.5000)

Results
For the energy above the lowest structure with this stoichiometry, the calculation gives 330 meV per atom. Its space group is F-43m (216). The calculation puts the size of the total moment at 0.6 μB per formula unit.

=====

## TmScNi2Pb (PBE)

Data for crystalline TmScNi2Pb at its relaxed geometry.

abc: 3.5238 7.2581 7.2581
angles: 31.16 90.00 90.00
Positions (direct):
Ni (0.0000, 0.2012, 0.2012)
Ni (0.0000, 0.8030, 0.8030)
Pb (0.0000, 0.9964, 0.9964)
Sc (0.5000, 0.3572, 0.3572)
Tm (0.5000, 0.6421, 0.6421)

Results
Its space group is Amm2 (38). The calculation puts the size of the total moment at 0.0 μB per formula unit. For the uncorrected energy, the calculation gives -28.1 eV for the cell shown.

=====

## ScNiPbW (PBE)

Data for crystalline ScNiPbW at its relaxed geometry.

abc: 4.6784 4.6784 4.6784
angles: 60.00 60.00 60.00
Positions (direct):
Ni (0.7500, 0.7500, 0.7500)
Pb (0.0000, 0.0000, 0.0000)
Sc (0.2500, 0.2500, 0.2500)
W (0.5000, 0.5000, 0.5000)

Results
Its space group is F-43m (216). The calculation puts the size of the total moment at 1.8 μB per formula unit. For the uncorrected energy, the calculation gives -26.0 eV for the cell shown.

=====

## YScNiPb (PBE)

Data for crystalline YScNiPb at its relaxed geometry.

abc: 4.9368 4.9368 4.9368
angles: 60.00 60.00 60.00
Positions (direct):
Ni (0.7500, 0.7500, 0.7500)
Pb (0.0000, 0.0000, 0.0000)
Sc (0.2500, 0.2500, 0.2500)
Y (0.5000, 0.5000, 0.5000)

Results
Its space group is F-43m (216). The calculation puts the size of the total moment at 1.6 μB per formula unit. For the uncorrected energy, the calculation gives -22.0 eV for the cell shown.

=====

## ScZnNiPb (PBE)

Data for crystalline ScZnNiPb at its relaxed geometry.

abc: 4.6575 4.6575 4.6575
angles: 60.00 60.00 60.00
Positions (direct):
Ni (0.2500, 0.2500, 0.2500)
Pb (0.0000, 0.0000, 0.0000)
Sc (0.7500, 0.7500, 0.7500)
Zn (0.5000, 0.5000, 0.5000)

Results
For the energy above the lowest structure with this stoichiometry, the calculation gives 45 meV per atom. Its space group is F-43m (216). The calculation puts the size of the total moment at 0.0 μB per formula unit.

=====

## ScZnNiPb (PBE)

Data for crystalline ScZnNiPb at its relaxed geometry.

abc: 4.6692 4.6692 4.6692
angles: 60.00 60.00 60.00
Positions (direct):
Ni (0.5000, 0.5000, 0.5000)
Pb (0.2500, 0.2500, 0.2500)
Sc (0.7500, 0.7500, 0.7500)
Zn (0.0000, 0.0000, 0.0000)

Results
For the energy above the lowest structure with this stoichiometry, the calculation gives 0 meV per atom. Its space group is F-43m (216). The calculation puts the size of the total moment at 0.0 μB per formula unit.

=====

## ZrScNiPb (PBE)

Data for crystalline ZrScNiPb at its relaxed geometry.

abc: 4.8423 4.8423 4.8423
angles: 60.00 60.00 60.00
Positions (direct):
Ni (0.7500, 0.7500, 0.7500)
Pb (0.0000, 0.0000, 0.0000)
Sc (0.2500, 0.2500, 0.2500)
Zr (0.5000, 0.5000, 0.5000)

Results
Its space group is F-43m (216). The calculation puts the size of the total moment at 3.0 μB per formula unit. For the uncorrected energy, the calculation gives -23.7 eV for the cell shown.

=====

## ZnNiPbSe3 (PBE)

Data for crystalline ZnNiPbSe3 at its relaxed geometry.

abc: 6.6561 6.6561 10.7217
angles: 90.00 90.00 33.33
Positions (direct):
Ni (0.4447, 0.4447, 0.2500)
Ni (0.5553, 0.5553, 0.7500)
Pb (0.7647, 0.7647, 0.2500)
Pb (0.2353, 0.2353, 0.7500)
Se (0.3657, 0.3657, 0.0494)
Se (0.0546, 0.0546, 0.2500)
Se (0.3657, 0.3657, 0.4506)
Se (0.6343, 0.6343, 0.5494)
Se (0.9454, 0.9454, 0.7500)
Se (0.6343, 0.6343, 0.9506)
Zn (0.0000, 0.0000, 0.0000)
Zn (0.0000, 0.0000, 0.5000)

Results
Its space group is Cmcm (63). The calculation puts the size of the total moment at 0.0 μB per formula unit. For the uncorrected energy, the calculation gives -45.3 eV for the cell shown.

=====

## ZnNiPbSe3 (PBE)

Data for crystalline ZnNiPbSe3 at its relaxed geometry.

abc: 7.1150 7.1150 9.7203
angles: 90.00 90.00 31.72
Each line ends with the local moment (μB).
Positions (direct):
Ni (0.0000, 0.0000, 0.0000)  0.77
Ni (0.0000, 0.0000, 0.5000)  0.72
Pb (0.7597, 0.7597, 0.2500)  0.03
Pb (0.2403, 0.2403, 0.7500)  0.03
Se (0.3732, 0.3732, 0.0412)  0.09
Se (0.0772, 0.0772, 0.2500)  0.05
Se (0.3732, 0.3732, 0.4588)  0.07
Se (0.6268, 0.6268, 0.5412)  0.07
Se (0.9228, 0.9228, 0.7500)  0.05
Se (0.6268, 0.6268, 0.9588)  0.09
Zn (0.4698, 0.4698, 0.2500)  0.02
Zn (0.5302, 0.5302, 0.7500)  0.02

Results
Its space group is Cmcm (63). The calculation puts the size of the total moment at 1.2 μB per formula unit. For the uncorrected energy, the calculation gives -45.3 eV for the cell shown.